This record from OQMD describes CuH10C2N2Cl4 after structural relaxation. The functional is PBE-GGA.

Unit cell a=8.162 b=7.279 c=7.020 alpha=90.00 beta=89.82 gamma=90.00
Sites, in units of the cell vectors:
C: 0.067 0.946 0.050
C: 0.933 0.446 0.450
C: 0.067 0.554 0.550
C: 0.933 0.054 0.950
Cl: 0.216 0.461 0.029
Cl: 0.536 0.285 0.240
Cl: 0.464 0.785 0.260
Cl: 0.784 0.961 0.471
Cl: 0.216 0.039 0.529
Cl: 0.536 0.215 0.740
Cl: 0.464 0.715 0.760
Cl: 0.784 0.539 0.971
Cu: 0.500 0.500 0.000
Cu: 0.500 0.000 0.500
H: 0.066 0.801 0.010
H: 0.240 0.161 0.035
H: 0.322 0.949 0.072
H: 0.748 0.988 0.147
H: 0.055 0.956 0.206
H: 0.945 0.456 0.294
H: 0.252 0.488 0.353
H: 0.678 0.449 0.428
H: 0.760 0.661 0.465
H: 0.934 0.301 0.490
H: 0.066 0.699 0.510
H: 0.240 0.339 0.535
H: 0.322 0.551 0.572
H: 0.748 0.512 0.647
H: 0.055 0.544 0.706
H: 0.945 0.044 0.794
H: 0.252 0.012 0.853
H: 0.678 0.051 0.928
H: 0.760 0.839 0.965
H: 0.934 0.199 0.990
N: 0.770 0.978 0.001
N: 0.230 0.478 0.499
N: 0.770 0.522 0.501
N: 0.230 0.022 0.999

Values from the calculation:
Total energy (eV per formula unit): -88.36

***

This record from OQMD describes Sm2Dy2BBrCl4 after structural relaxation. The functional is PBE-GGA.

Unit cell a=8.975 b=8.975 c=8.137 alpha=104.29 beta=104.29 gamma=25.07
Sites, in units of the cell vectors:
B: 0.500 0.500 0.000
Br: 0.500 0.500 0.500
Cl: 0.832 0.832 0.156
Cl: 0.163 0.163 0.338
Cl: 0.837 0.837 0.662
Cl: 0.168 0.168 0.844
Dy: 0.000 0.000 0.209
Dy: 0.000 0.000 0.791
Sm: 0.650 0.650 0.087
Sm: 0.350 0.350 0.913

Values from the calculation:
Spin magnetization (μB per cell): 0.00
Total energy (eV per formula unit): -50.55

***

This record from OQMD describes HfBeTcBi after structural relaxation. The functional is PBE-GGA.

Unit cell a=4.623 b=4.623 c=4.623 alpha=60.00 beta=60.00 gamma=60.00
Sites, in units of the cell vectors:
Be: 0.750 0.750 0.750
Bi: 0.500 0.500 0.500
Hf: 0.000 0.000 0.000
Tc: 0.250 0.250 0.250

Values from the calculation:
Spin magnetization (μB per cell): 0.00
Total energy (eV per formula unit): -26.89

***

This record from OQMD describes Y2Al8Ir after structural relaxation. The functional is PBE-GGA.

Unit cell a=4.285 b=4.285 c=11.221 alpha=90.00 beta=90.00 gamma=90.00
Sites, in units of the cell vectors:
Al: 0.500 0.000 0.000
Al: 0.000 0.500 0.000
Al: 0.500 0.500 0.194
Al: 0.500 0.000 0.379
Al: 0.000 0.500 0.379
Al: 0.500 0.000 0.621
Al: 0.000 0.500 0.621
Al: 0.500 0.500 0.806
Ir: 0.000 0.000 0.500
Y: 0.000 0.000 0.191
Y: 0.000 0.000 0.809

Values from the calculation:
Spin magnetization (μB per cell): 0.01
Total energy (eV per formula unit): -57.90